VASP calculation (PBE) on a relaxed Be5CuPd4 crystal.

Lattice parameters (Å, degrees): 2.798 2.798 14.168 90.00 90.00 90.00
Fractional coordinates of all 10 atoms:
Be  0.000  0.000  0.000
Be  0.000  0.000  0.204
Be  0.000  0.000  0.409
Be  0.000  0.000  0.591
Be  0.000  0.000  0.796
Cu  0.500  0.500  0.500
Pd  0.500  0.500  0.101
Pd  0.500  0.500  0.305
Pd  0.500  0.500  0.695
Pd  0.500  0.500  0.899

Output
- ΔE_f: -482 meV/atom
- Volume: 11.09 Å³/atom